VASP calculation (GGA-PBEsol) on a geometry-optimized MnGa2Co structure.

Structure (extended XYZ):
```
4
Lattice="0.000 2.740 3.239 2.734 0.000 3.239 2.734 2.740 0.000" Properties=species:S:1:pos:R:3 pbc="T T T"
Mn 0.000 0.000 0.000
Ga 1.367 1.370 1.620
Ga 4.101 4.110 4.859
Co 2.734 2.740 3.239
```

Results
Volume ... 12.1 A^3/atom
E_form ... -0.59 eV/f.u.